Entry 1:
# Ga3TcNi (PBE, optimized geometry)
data_Ga3TcNi
_chemical_formula_sum 'Ga3 Tc1 Ni1'
_cell_length_a 4.457
_cell_length_b 4.457
_cell_length_c 4.457
_cell_angle_alpha 90.00
_cell_angle_beta 90.00
_cell_angle_gamma 90.00
_space_group_name_H-M_alt 'P m -3 m'
_space_group_IT_number 221
_space_group_name_Hall '-P 4 2 3'
loop_
_atom_site_label
_atom_site_fract_x
_atom_site_fract_y
_atom_site_fract_z
Ga1 0.000 0.000 0.500
Tc1 0.500 0.500 0.500
Ni1 0.000 0.000 0.000
# Energy, eV/atom: -4.54
# Offset from the most stable computed form, meV per atom: 0
# Fermi-level density of states, states/eV/cell: 2.9
# Magnetic moment, Bohr magnetons per cell: 3.04
# Formation energy, eV/atom: 0.508

Entry 2:
# Ga2TcNi9 (PBE, optimized geometry)
data_Ga2TcNi9
_chemical_formula_sum 'Ga2 Tc1 Ni9'
_cell_length_a 3.595
_cell_length_b 3.595
_cell_length_c 10.733
_cell_angle_alpha 90.00
_cell_angle_beta 90.00
_cell_angle_gamma 90.00
_space_group_name_H-M_alt 'P 4/m m m'
_space_group_IT_number 123
_space_group_name_Hall '-P 4 2'
loop_
_atom_site_label
_atom_site_fract_x
_atom_site_fract_y
_atom_site_fract_z
Ga1 0.000 0.000 0.163
Tc1 0.000 0.000 0.500
Ni1 0.000 0.500 0.000
Ni2 0.000 0.500 0.335
Ni3 0.500 0.500 0.167
Ni4 0.500 0.500 0.500
# Energy, eV/atom: -5.90
# Fermi-level density of states, states/eV/cell: 11.0
# Magnetic moment, Bohr magnetons per cell: 0.18
# Formation energy, eV/atom: -0.193

Entry 3:
# GaTc2Ni (PBE, optimized geometry)
data_GaTc2Ni
_chemical_formula_sum 'Ga4 Tc8 Ni4'
_cell_length_a 6.857
_cell_length_b 6.857
_cell_length_c 5.054
_cell_angle_alpha 90.00
_cell_angle_beta 90.00
_cell_angle_gamma 90.00
_space_group_name_H-M_alt 'I -4 2 d'
_space_group_IT_number 122
_space_group_name_Hall 'I -4 2bw'
loop_
_atom_site_label
_atom_site_fract_x
_atom_site_fract_y
_atom_site_fract_z
Ga1 0.000 0.000 0.000
Tc1 0.233 0.250 0.625
Ni1 0.000 0.000 0.500
# Energy, eV/atom: -6.89
# Fermi-level density of states, states/eV/cell: 19.1
# Magnetic moment, Bohr magnetons per cell: 4.85
# Formation energy, eV/atom: 0.498

Entry 4:
# Ga2TcNi (PBE, optimized geometry)
data_Ga2TcNi
_chemical_formula_sum 'Ga2 Tc1 Ni1'
_cell_length_a 4.096
_cell_length_b 4.096
_cell_length_c 3.214
_cell_angle_alpha 90.00
_cell_angle_beta 90.00
_cell_angle_gamma 90.00
_space_group_name_H-M_alt 'P 4/m m m'
_space_group_IT_number 123
_space_group_name_Hall '-P 4 2'
loop_
_atom_site_label
_atom_site_fract_x
_atom_site_fract_y
_atom_site_fract_z
Ga1 0.000 0.500 0.000
Tc1 0.000 0.000 0.500
Ni1 0.500 0.500 0.500
# Energy, eV/atom: -5.83
# Offset from the most stable computed form, meV per atom: 0
# Fermi-level density of states, states/eV/cell: 2.5
# Magnetic moment, Bohr magnetons per cell: 0.00
# Formation energy, eV/atom: -0.277

Entry 5:
# GaTcNi (PBE, optimized geometry)
data_GaTcNi
_chemical_formula_sum 'Ga2 Tc2 Ni2'
_cell_length_a 2.744
_cell_length_b 4.318
_cell_length_c 6.921
_cell_angle_alpha 90.00
_cell_angle_beta 101.57
_cell_angle_gamma 90.00
_space_group_name_H-M_alt 'P 1 21/m 1'
_space_group_IT_number 11
loop_
_space_group_symop_operation_xyz
'x,y,z'
'-x,-y,-z'
'-x,y+1/2,-z'
'x,-y+1/2,z'
loop_
_atom_site_label
_atom_site_fract_x
_atom_site_fract_y
_atom_site_fract_z
Ga1 0.060 0.250 0.123
Tc1 0.275 0.750 0.546
Ni1 0.399 0.250 0.795
# Energy, eV/atom: -6.51
# Offset from the most stable computed form, meV per atom: 115
# Fermi-level density of states, states/eV/cell: 4.5
# Magnetic moment, Bohr magnetons per cell: 0.00
# Formation energy, eV/atom: -0.116

Entry 6:
# GaTcNi (PBE, optimized geometry)
data_GaTcNi
_chemical_formula_sum 'Ga1 Tc1 Ni1'
_cell_length_a 4.1672
_cell_length_b 4.1672
_cell_length_c 2.6718
_cell_angle_alpha 90.00
_cell_angle_beta 90.00
_cell_angle_gamma 120.00
_space_group_name_H-M_alt 'P -6 m 2'
_space_group_IT_number 187
_space_group_name_Hall 'P -6 2'
loop_
_atom_site_label
_atom_site_fract_x
_atom_site_fract_y
_atom_site_fract_z
Ga1 0.0000 0.0000 0.0000
Tc1 0.3333 0.6667 0.5000
Ni1 0.6667 0.3333 0.0000
# Energy, eV/atom: -6.44
# Offset from the most stable computed form, meV per atom: 179
# Fermi-level density of states, states/eV/cell: 2.4
# Magnetic moment, Bohr magnetons per cell: 1.28
# Formation energy, eV/atom: -0.052

Entry 7:
# Th2Ga4TcNi3 (PBE, optimized geometry)
data_Th2Ga4TcNi3
_chemical_formula_sum 'Th2 Ga4 Tc1 Ni3'
_cell_length_a 4.257
_cell_length_b 4.257
_cell_length_c 9.727
_cell_angle_alpha 90.00
_cell_angle_beta 90.00
_cell_angle_gamma 90.00
_space_group_name_H-M_alt 'P -4 m 2'
_space_group_IT_number 115
loop_
_space_group_symop_operation_xyz
'x,y,z'
'y,-x,-z'
'-x,-y,z'
'-y,x,-z'
'-x,y,z'
'-y,-x,-z'
'x,-y,z'
'y,x,-z'
loop_
_atom_site_label
_atom_site_fract_x
_atom_site_fract_y
_atom_site_fract_z
Th1 0.000 0.500 0.240
Ga1 0.000 0.000 0.500
Ga2 0.000 0.500 0.867
Ga3 0.500 0.500 0.500
Tc1 0.500 0.500 0.000
Ni1 0.000 0.000 0.000
Ni2 0.000 0.500 0.623
# Energy, eV/atom: -5.97
# Fermi-level density of states, states/eV/cell: 7.1
# Magnetic moment, Bohr magnetons per cell: 0.00
# Formation energy, eV/atom: -0.509

Entry 8:
# TiGaTcNi (PBE, optimized geometry)
data_TiGaTcNi
_chemical_formula_sum 'Ti4 Ga4 Tc4 Ni4'
_cell_length_a 6.045
_cell_length_b 6.045
_cell_length_c 6.045
_cell_angle_alpha 90.00
_cell_angle_beta 90.00
_cell_angle_gamma 90.00
_space_group_name_H-M_alt 'F -4 3 m'
_space_group_IT_number 216
_space_group_name_Hall 'F -4 2 3'
loop_
_atom_site_label
_atom_site_fract_x
_atom_site_fract_y
_atom_site_fract_z
Ti1 0.000 0.000 0.000
Ga1 0.000 0.000 0.500
Tc1 0.250 0.250 0.250
Ni1 0.250 0.250 0.750
# Energy, eV/atom: -7.19
# Offset from the most stable computed form, meV per atom: 73
# Fermi-level density of states, states/eV/cell: 3.3
# Magnetic moment, Bohr magnetons per cell: 0.00
# Formation energy, eV/atom: -0.424

Entry 9:
# TiGaTcNi (PBE, optimized geometry)
data_TiGaTcNi
_chemical_formula_sum 'Ti1 Ga1 Tc1 Ni1'
_cell_length_a 3.242
_cell_length_b 4.028
_cell_length_c 4.204
_cell_angle_alpha 90.00
_cell_angle_beta 90.00
_cell_angle_gamma 90.00
_space_group_name_H-M_alt 'P m m m'
_space_group_IT_number 47
loop_
_space_group_symop_operation_xyz
'x,y,z'
'-x,-y,-z'
'-x,-y,z'
'x,y,-z'
'x,-y,-z'
'-x,y,z'
'-x,y,-z'
'x,-y,z'
loop_
_atom_site_label
_atom_site_fract_x
_atom_site_fract_y
_atom_site_fract_z
Ti1 0.000 0.000 0.000
Ga1 0.000 0.500 0.500
Tc1 0.500 0.500 0.000
Ni1 0.500 0.000 0.500
# Energy, eV/atom: -7.26
# Offset from the most stable computed form, meV per atom: 0
# Fermi-level density of states, states/eV/cell: 1.2
# Magnetic moment, Bohr magnetons per cell: 0.00
# Formation energy, eV/atom: -0.497

Entry 10:
# GaTcNiW (PBE, optimized geometry)
data_GaTcNiW
_chemical_formula_sum 'Ga4 Tc4 Ni4 W4'
_cell_length_a 6.093
_cell_length_b 6.093
_cell_length_c 6.093
_cell_angle_alpha 90.00
_cell_angle_beta 90.00
_cell_angle_gamma 90.00
_space_group_name_H-M_alt 'F -4 3 m'
_space_group_IT_number 216
_space_group_name_Hall 'F -4 2 3'
loop_
_atom_site_label
_atom_site_fract_x
_atom_site_fract_y
_atom_site_fract_z
Ga1 0.000 0.000 0.000
Tc1 0.250 0.250 0.750
Ni1 0.250 0.250 0.250
W1 0.000 0.000 0.500
# Energy, eV/atom: -8.04
# Fermi-level density of states, states/eV/cell: 20.4
# Magnetic moment, Bohr magnetons per cell: 0.00
# Formation energy, eV/atom: -0.006

Entry 11:
# ZnGa2TcNi (PBE, optimized geometry)
data_ZnGa2TcNi
_chemical_formula_sum 'Zn1 Ga2 Tc1 Ni1'
_cell_length_a 4.537
_cell_length_b 4.537
_cell_length_c 4.324
_cell_angle_alpha 90.00
_cell_angle_beta 90.00
_cell_angle_gamma 90.00
_space_group_name_H-M_alt 'P 4/m m m'
_space_group_IT_number 123
_space_group_name_Hall '-P 4 2'
loop_
_atom_site_label
_atom_site_fract_x
_atom_site_fract_y
_atom_site_fract_z
Zn1 0.000 0.000 0.000
Ga1 0.000 0.500 0.000
Tc1 0.500 0.500 0.500
Ni1 0.000 0.000 0.500
# Energy, eV/atom: -3.69
# Fermi-level density of states, states/eV/cell: 3.7
# Magnetic moment, Bohr magnetons per cell: 2.37
# Formation energy, eV/atom: 1.002

Entry 12:
# GaNi2Te (PBE, optimized geometry)
data_GaNi2Te
_chemical_formula_sum 'Ga4 Ni8 Te4'
_cell_length_a 4.241
_cell_length_b 4.241
_cell_length_c 15.601
_cell_angle_alpha 90.00
_cell_angle_beta 90.00
_cell_angle_gamma 90.00
_space_group_name_H-M_alt 'I -4 2 d'
_space_group_IT_number 122
_space_group_name_Hall 'I -4 2bw'
loop_
_atom_site_label
_atom_site_fract_x
_atom_site_fract_y
_atom_site_fract_z
Ga1 0.000 0.000 0.000
Ni1 0.233 0.250 0.125
Te1 0.000 0.000 0.500
# Energy, eV/atom: -4.39
# Offset from the most stable computed form, meV per atom: 0
# Fermi-level density of states, states/eV/cell: 9.3
# Magnetic moment, Bohr magnetons per cell: 0.00
# E_form (uncorrected), meV/atom: 38.0

Q: Which of these has the highest magnetic moment?
A: GaTc2Ni

Q: energy of number 11 (ZnGa2TcNi)?
A: -3.69 eV/atom

Q: Number 1 is which compound?
A: Ga3TcNi